[1]
Here is crystalline Tb4Pm5Sc2 at its relaxed geometry from the Alexandria database. Energies are from GGA-PBE.

The structure in POSCAR format:
```
Tb4Pm5Sc2
1.0
-0.874 -3.121 1.332
0.299 -3.442 -7.869
11.822 -0.610 1.718
Tb Pm Sc
4 5 2
direct
0.962 0.651 0.924 Tb
0.274 0.174 0.548 Tb
0.726 0.826 0.452 Tb
0.038 0.349 0.076 Tb
0.130 0.039 0.260 Pm
0.181 0.478 0.362 Pm
0.819 0.522 0.638 Pm
0.870 0.961 0.740 Pm
0.500 0.000 0.000 Pm
0.413 0.306 0.827 Sc
0.587 0.694 0.173 Sc
```

Computed properties:
M_tot = 0.000 Bohr magnetons per cell
Polymorph energy (0 for the lowest one) = 0.0 meV per atom
ΔE_f = 116 kJ/mol of formula units
SG = C2/m, No. 12

***

[2]
Here is crystalline TaSbAsSe2 at its relaxed geometry from the Alexandria database. Energies are from GGA-PBE.

The structure in POSCAR format:
```
TaSbAsSe2
1.0
-4.584 0.139 2.268
0.405 -4.975 1.123
2.241 1.189 4.457
As Se Sb Ta
1 2 1 1
direct
0.000 0.000 0.500 As
0.500 0.000 0.000 Se
0.000 0.500 0.000 Se
0.000 0.000 0.000 Sb
0.500 0.500 0.500 Ta
```

Computed properties:
M_tot = 1.950 Bohr magnetons per cell
Polymorph energy (0 for the lowest one) = 1091.8 meV per atom
SG = P4/mmm, No. 123

***

[3]
Here is crystalline Ge2BiSe at its relaxed geometry from the Alexandria database. Energies are from GGA-PBE.

The structure in POSCAR format:
```
Ge2BiSe
1.0
-5.371 -0.771 2.235
2.197 -3.678 4.011
-0.492 3.423 7.702
Se Bi Ge
2 2 4
direct
0.250 0.750 0.500 Se
0.500 0.500 0.000 Se
0.750 0.250 0.500 Bi
0.000 0.000 0.000 Bi
0.162 0.625 0.250 Ge
0.588 0.125 0.250 Ge
0.375 0.412 0.750 Ge
0.875 0.838 0.750 Ge
```

Computed properties:
M_tot = 0.000 Bohr magnetons per cell
Polymorph energy (0 for the lowest one) = 0.0 meV per atom
SG = I-42d, No. 122

***

- Look up the polymorph energy (0 for the lowest one) of the third one.
  0.0 meV per atom

***

- Look up the polymorph energy (0 for the lowest one) of the second one.
  1091.8 meV per atom